{"formula": "CeCu6Pd6", "functional": "PBE", "state": "relaxed", "lattice": [[4.672, 0.000, 1.867], [2.350, 6.194, 0.899], [0.038, -0.185, 6.682]], "species": ["Cu", "Ce", "Cu", "Cu", "Cu", "Pd", "Pd", "Cu", "Pd", "Pd", "Pd", "Pd", "Cu"], "fractional_positions": [[0.000, 0.000, 0.500], [0.000, 0.000, 0.000], [0.500, 0.240, 0.760], [0.000, 0.500, 0.000], [0.500, 0.500, 0.000], [0.312, 0.188, 0.188], [0.660, 0.340, 0.340], [0.500, 0.760, 0.240], [0.000, 0.653, 0.347], [0.000, 0.347, 0.653], [0.340, 0.660, 0.660], [0.688, 0.812, 0.812], [0.500, 0.000, 0.500]], "energy_ev_per_atom": -5.0653, "total_magnetization_mub_per_cell": 0.40, "e_form_ev_per_atom": -0.32}